# 1
Compound: La2BBr
Source: Alexandria
Functional: PBE-GGA
Structure: relaxed

a = 5.119 Å, b = 5.119 Å, c = 5.119 Å
α = 60.00°, β = 60.00°, γ = 60.00°
Fractional positions:
La 0.250 0.250 0.250
La 0.750 0.750 0.750
B 0.000 0.000 0.000
Br 0.500 0.500 0.500

Computed properties:
VASP energy: -4.829 eV/atom
energy relative to the elements, uncorrected: -278 meV per atom
energy relative to the lowest polymorph listed for this composition: 42.6 kJ/mol of atoms

=====

# 2
Compound: LaBBr2
Source: Alexandria
Functional: PBE-GGA
Structure: relaxed

a = 10.369 Å, b = 10.369 Å, c = 10.369 Å
α = 153.89°, β = 153.89°, γ = 37.26°
Fractional positions:
La 0.000 0.000 0.000
La 0.750 0.250 0.500
B 0.250 0.750 0.500
B 0.500 0.500 0.000
Br 0.134 0.625 0.009
Br 0.375 0.384 0.509
Br 0.616 0.125 0.991
Br 0.875 0.866 0.491

Computed properties:
VASP energy: -3.783 eV/atom
energy relative to the elements, uncorrected: -45 meV per atom
energy relative to the lowest polymorph listed for this composition: 2.3 kJ/mol of atoms

=====

# 3
Compound: La4BBr5
Source: Alexandria
Functional: PBE-GGA
Structure: relaxed

a = 9.689 Å, b = 9.689 Å, c = 8.632 Å
α = 103.21°, β = 103.21°, γ = 24.99°
Fractional positions:
La 0.001 0.001 0.285
La 0.354 0.354 0.418
La 0.646 0.646 0.582
La 0.999 0.999 0.715
B 0.500 0.500 0.500
Br 0.165 0.165 0.842
Br 0.171 0.171 0.336
Br 0.500 0.500 0.000
Br 0.829 0.829 0.664
Br 0.835 0.835 0.158

Computed properties:
VASP energy: -4.923 eV/atom
energy relative to the elements, uncorrected: -1448 meV per atom

=====

# 4
Compound: LiLaB2Br
Source: Alexandria
Functional: PBE-GGA
Structure: relaxed

a = 4.497 Å, b = 4.497 Å, c = 5.375 Å
α = 90.00°, β = 90.00°, γ = 90.00°
Fractional positions:
Li 0.000 0.000 0.000
La 0.500 0.500 0.000
B 0.000 0.500 0.500
B 0.500 0.000 0.500
Br 0.500 0.500 0.500

Computed properties:
VASP energy: -2.949 eV/atom
energy relative to the elements, uncorrected: 1425 meV per atom

=====

# 5
Compound: La2NbBBr
Source: Alexandria
Functional: PBE-GGA
Structure: relaxed

a = 5.671 Å, b = 5.671 Å, c = 4.185 Å
α = 90.00°, β = 90.00°, γ = 90.00°
Fractional positions:
La 0.000 0.500 0.000
La 0.500 0.000 0.000
Nb 0.000 0.000 0.500
B 0.500 0.500 0.500
Br 0.500 0.500 0.000

Computed properties:
VASP energy: -4.796 eV/atom
energy relative to the elements, uncorrected: 859 meV per atom

=====

# 6
Compound: LaNbBBr2
Source: Alexandria
Functional: PBE-GGA
Structure: relaxed

a = 4.911 Å, b = 4.911 Å, c = 4.488 Å
α = 90.00°, β = 90.00°, γ = 90.00°
Fractional positions:
La 0.000 0.000 0.000
Nb 0.500 0.500 0.000
B 0.500 0.500 0.500
Br 0.000 0.500 0.500
Br 0.500 0.000 0.500

Computed properties:
VASP energy: -4.579 eV/atom
energy relative to the elements, uncorrected: 425 meV per atom

=====

# 7
Compound: LaB2BrO
Source: Alexandria
Functional: PBE-GGA
Structure: relaxed

a = 4.342 Å, b = 4.342 Å, c = 4.716 Å
α = 90.00°, β = 90.00°, γ = 90.00°
Fractional positions:
La 0.000 0.000 0.000
B 0.000 0.500 0.500
B 0.500 0.000 0.500
Br 0.500 0.500 0.000
O 0.000 0.000 0.500

Computed properties:
VASP energy: -4.565 eV/atom
energy relative to the elements, uncorrected: 418 meV per atom

=====

# 8
Compound: La2BPdBr
Source: Alexandria
Functional: PBE-GGA
Structure: relaxed

a = 5.599 Å, b = 5.599 Å, c = 4.151 Å
α = 90.00°, β = 90.00°, γ = 90.00°
Fractional positions:
La 0.000 0.500 0.000
La 0.500 0.000 0.000
B 0.000 0.000 0.500
Pd 0.500 0.500 0.500
Br 0.000 0.000 0.000

Computed properties:
VASP energy: -4.368 eV/atom
energy relative to the elements, uncorrected: 311 meV per atom